No. 1
Crystalline Na3RePb at its relaxed geometry. Source: Alexandria, functional PBE.

Summary:
calculated formation energy: 689.7 kJ/mol of formula units

Lattice parameters (Å, degrees): 5.6366 5.6366 5.6366 90.00 90.00 90.00
With the nearest neighbours (Å) after each atom.
Sites, in units of the cell vectors:
Na: 0.0000 0.0000 0.5000  2 Re 2.82
Na: 0.0000 0.5000 0.0000  2 Re 2.82
Na: 0.5000 0.0000 0.0000  2 Re 2.82
Re: 0.0000 0.0000 0.0000  6 Na 2.82
Pb: 0.5000 0.5000 0.5000  12 Na 3.99

No. 2
Crystalline NaRePb2 at its relaxed geometry. Source: Alexandria, functional PBE.

Summary:
calculated formation energy: 375.3 kJ/mol of formula units

Lattice parameters (Å, degrees): 9.1432 9.1432 9.1432 139.97 139.97 57.90
With the nearest neighbours (Å) after each atom.
Sites, in units of the cell vectors:
Na: 0.0000 0.0000 0.0000  4 Pb 3.57
Na: 0.7500 0.2500 0.5000  4 Pb 3.57
Re: 0.2500 0.7500 0.5000  4 Pb 2.61
Re: 0.5000 0.5000 0.0000  4 Pb 2.61
Pb: 0.2767 0.6250 0.1517  2 Re 2.61
Pb: 0.3750 0.5267 0.6517  2 Re 2.61
Pb: 0.4733 0.1250 0.8483  2 Re 2.61
Pb: 0.8750 0.7233 0.3483  2 Re 2.61

No. 3
Crystalline Na2ReSbPb at its relaxed geometry. Source: Alexandria, functional PBE.

Summary:
formation energy from raw total energies: 1.1301 eV/atom

Lattice parameters (Å, degrees): 5.5989 5.5989 5.3166 90.00 90.00 90.00
With the nearest neighbours (Å) after each atom.
Sites, in units of the cell vectors:
Na: 0.0000 0.5000 0.0000  2 Re 2.80
Na: 0.5000 0.0000 0.0000  2 Re 2.80
Re: 0.0000 0.0000 0.0000  2 Pb 2.66, 4 Na 2.80
Sb: 0.5000 0.5000 0.5000  8 Na 3.86, 4 Pb 3.96
Pb: 0.0000 0.0000 0.5000  2 Re 2.66